## EuAl3B4O12 (PBE-GGA)

Data for an optimized crystal structure of EuAl3B4O12.

The structure in POSCAR format:
```
EuAl3B4O12
1.0
-2.021 4.044 -3.880
-3.962 0.156 4.446
4.872 2.527 2.316
O B Al Eu
12 4 3 1
direct
0.773 0.621 0.028 O
0.910 0.090 0.500 O
0.090 0.500 0.910 O
0.227 0.972 0.379 O
0.972 0.379 0.227 O
0.028 0.773 0.621 O
0.648 0.352 0.500 O
0.352 0.500 0.648 O
0.621 0.028 0.773 O
0.500 0.910 0.090 O
0.500 0.648 0.352 O
0.379 0.227 0.972 O
0.058 0.942 0.500 B
0.500 0.058 0.942 B
0.500 0.500 0.500 B
0.942 0.500 0.058 B
0.000 0.444 0.556 Al
0.556 0.000 0.444 Al
0.444 0.556 0.000 Al
0.000 0.000 0.000 Eu
```

Size of the total moment   5.93 μB/cell
Electronic total energy   -8.1054 eV per atom
Mass density   4.12 Mg/m³
SG   R32, No. 155
Energy relative to the elements, uncorrected   -54.4 eV/f.u.

***

## EuAl3B4O12 (PBE-GGA)

Data for an optimized crystal structure of EuAl3B4O12.

The structure in POSCAR format:
```
EuAl3B4O12
1.0
-3.759 1.861 4.240
-3.335 -3.493 -3.500
3.625 -13.075 9.244
O B Eu Al
36 12 3 9
direct
0.987 0.331 0.637 O
0.334 0.684 0.697 O
0.245 0.557 0.924 O
0.028 0.324 0.030 O
0.443 0.755 0.076 O
0.718 0.346 0.875 O
0.301 0.364 0.165 O
0.676 0.972 0.970 O
0.359 0.362 0.541 O
0.638 0.641 0.459 O
0.022 0.051 0.883 O
0.949 0.978 0.117 O
0.636 0.699 0.835 O
0.654 0.282 0.125 O
0.320 0.060 0.005 O
0.986 0.604 0.783 O
0.027 0.934 0.327 O
0.372 0.959 0.831 O
0.041 0.628 0.169 O
0.323 0.926 0.451 O
0.669 0.013 0.363 O
0.563 0.903 0.591 O
0.074 0.677 0.549 O
0.396 0.014 0.217 O
0.764 0.102 0.743 O
0.316 0.666 0.303 O
0.976 0.024 0.500 O
0.406 0.311 0.341 O
0.289 0.312 0.793 O
0.689 0.594 0.659 O
0.898 0.236 0.257 O
0.066 0.973 0.673 O
0.688 0.711 0.207 O
0.097 0.437 0.409 O
0.716 0.284 0.500 O
0.940 0.680 0.995 O
0.892 0.774 0.163 B
0.274 0.466 0.353 B
0.071 0.525 0.981 B
0.938 0.131 0.686 B
0.452 0.218 0.171 B
0.534 0.726 0.647 B
0.869 0.062 0.314 B
0.782 0.548 0.829 B
0.226 0.108 0.837 B
0.124 0.876 0.500 B
0.567 0.433 0.500 B
0.475 0.929 0.019 B
0.549 0.451 0.000 Eu
0.800 0.546 0.331 Eu
0.454 0.200 0.669 Eu
0.967 0.292 0.147 Al
0.999 0.001 0.000 Al
0.347 0.990 0.335 Al
0.300 0.625 0.814 Al
0.644 0.950 0.481 Al
0.050 0.356 0.519 Al
0.375 0.700 0.186 Al
0.010 0.653 0.665 Al
0.708 0.033 0.853 Al
```

Size of the total moment   5.85 μB/cell
Electronic total energy   -8.1053 eV per atom
Mass density   4.12 Mg/m³
SG   C2, No. 5
Energy relative to the elements, uncorrected   -54.4 eV/f.u.

***

## EuAl3B4O12 (PBE-GGA)

Data for an optimized crystal structure of EuAl3B4O12.

The structure in POSCAR format:
```
EuAl3B4O12
1.0
5.966 -0.013 -0.006
-1.467 5.783 -0.006
1.653 2.119 10.935
B O Eu Al
8 24 2 6
direct
0.280 0.222 0.495 B
0.778 0.720 0.005 B
0.492 0.121 0.722 B
0.508 0.879 0.278 B
0.121 0.492 0.222 B
0.222 0.280 0.995 B
0.720 0.778 0.505 B
0.879 0.508 0.778 B
0.369 0.131 0.003 O
0.576 0.103 0.205 O
0.494 0.699 0.574 O
0.897 0.424 0.295 O
0.869 0.631 0.497 O
0.696 0.182 0.636 O
0.645 0.729 0.258 O
0.631 0.869 0.997 O
0.131 0.369 0.503 O
0.271 0.355 0.242 O
0.301 0.506 0.926 O
0.182 0.696 0.136 O
0.729 0.645 0.758 O
0.424 0.897 0.795 O
0.807 0.004 0.438 O
0.355 0.271 0.742 O
0.818 0.304 0.864 O
0.304 0.818 0.364 O
0.193 0.996 0.562 O
0.004 0.807 0.938 O
0.699 0.494 0.074 O
0.996 0.193 0.062 O
0.103 0.576 0.705 O
0.506 0.301 0.426 O
0.039 0.961 0.250 Eu
0.961 0.039 0.750 Eu
0.306 0.806 0.971 Al
0.589 0.411 0.250 Al
0.694 0.194 0.029 Al
0.806 0.306 0.471 Al
0.411 0.589 0.750 Al
0.194 0.694 0.529 Al
```

Size of the total moment   11.91 μB/cell
Electronic total energy   -8.1056 eV per atom
Mass density   4.12 Mg/m³
SG   C2/c, No. 15
Energy relative to the elements, uncorrected   -54.4 eV/f.u.

***

## AlBF2 (PBE-GGA)

Data for an optimized crystal structure of AlBF2.

The structure in POSCAR format:
```
AlBF2
1.0
2.812 -4.541 4.944
3.485 -5.783 2.715
4.998 -3.832 3.647
Al F B
1 2 1
direct
0.500 0.500 0.500 Al
0.070 0.070 0.070 F
0.930 0.930 0.930 F
0.000 0.000 0.000 B
```

Size of the total moment   0.00 μB/cell
Distance to the lowest polymorph of the same formula   0 meV per atom
Electronic total energy   -4.3265 eV per atom
Mass density   2.93 Mg/m³
SG   R-3m, No. 166
Energy relative to the elements, uncorrected   -3.1 eV/f.u.

***

## AlBF3 (PBE-GGA)

Data for an optimized crystal structure of AlBF3.

The structure in POSCAR format:
```
AlBF3
1.0
-2.419 -2.846 -0.693
-0.385 -0.582 3.734
-2.903 2.448 0.082
F B Al
3 1 1
direct
0.000 0.000 0.500 F
0.500 0.000 0.000 F
0.000 0.500 0.000 F
0.500 0.500 0.500 B
0.000 0.000 0.000 Al
```

Size of the total moment   0.71 μB/cell
Distance to the lowest polymorph of the same formula   0 meV per atom
Electronic total energy   -4.5970 eV per atom
Mass density   2.87 Mg/m³
SG   Pm-3m, No. 221
Energy relative to the elements, uncorrected   -7.0 eV/f.u.

***

## AlBF3 (PBE-GGA)

Data for an optimized crystal structure of AlBF3.

The structure in POSCAR format:
```
AlBF3
1.0
3.887 0.000 0.000
0.000 3.887 0.000
0.000 0.000 3.887
B Al F
1 1 3
direct
0.000 0.000 0.000 B
0.500 0.500 0.500 Al
0.000 0.500 0.000 F
0.500 0.000 0.000 F
0.000 0.000 0.500 F
```

Size of the total moment   0.00 μB/cell
Distance to the lowest polymorph of the same formula   625 meV per atom
Electronic total energy   -3.9717 eV per atom
Mass density   2.68 Mg/m³
SG   Pm-3m, No. 221
Energy relative to the elements, uncorrected   -3.8 eV/f.u.

***

## AlBF (PBE-GGA)

Data for an optimized crystal structure of AlBF.

The structure in POSCAR format:
```
AlBF
1.0
-2.415 -1.615 0.947
2.816 -1.169 -0.202
1.029 6.295 7.123
B Al F
2 2 2
direct
0.665 0.335 0.000 B
0.335 0.665 0.000 B
0.738 0.738 0.813 Al
0.262 0.262 0.187 Al
0.032 0.032 0.667 F
0.968 0.968 0.333 F
```

Size of the total moment   0.00 μB/cell
Electronic total energy   -5.2717 eV per atom
Mass density   2.79 Mg/m³
SG   C2/m, No. 12
Energy relative to the elements, uncorrected   -3.5 eV/f.u.

***

## AlB2F2 (PBE-GGA)

Data for an optimized crystal structure of AlB2F2.

The structure in POSCAR format:
```
AlB2F2
1.0
5.509 0.000 0.000
0.000 5.509 0.000
0.000 0.000 3.680
F B Al
4 4 2
direct
0.831 0.331 0.500 F
0.331 0.169 0.500 F
0.669 0.831 0.500 F
0.169 0.669 0.500 F
0.608 0.892 0.000 B
0.892 0.392 0.000 B
0.392 0.108 0.000 B
0.108 0.608 0.000 B
0.500 0.500 0.000 Al
0.000 0.000 0.000 Al
```

Size of the total moment   0.00 μB/cell
Distance to the lowest polymorph of the same formula   0 meV per atom
Electronic total energy   -4.3488 eV per atom
Mass density   2.57 Mg/m³
SG   P4/mbm, No. 127
Energy relative to the elements, uncorrected   -0.9 eV/f.u.

***

## AlBF2 (PBE-GGA)

Data for an optimized crystal structure of AlBF2.

The structure in POSCAR format:
```
AlBF2
1.0
-2.816 -0.205 2.926
-3.894 0.790 -0.866
-2.731 -3.012 -0.014
B F Al
1 2 1
direct
0.000 0.000 0.000 B
0.250 0.250 0.250 F
0.750 0.750 0.750 F
0.500 0.500 0.500 Al
```

Size of the total moment   0.00 μB/cell
Distance to the lowest polymorph of the same formula   624 meV per atom
Electronic total energy   -3.7021 eV per atom
Mass density   2.65 Mg/m³
SG   Fm-3m, No. 225
Energy relative to the elements, uncorrected   -0.6 eV/f.u.

***

## AlBF2 (PBE-GGA)

Data for an optimized crystal structure of AlBF2.

The structure in POSCAR format:
```
AlBF2
1.0
1.610 0.000 7.345
-0.805 1.395 7.345
-0.805 -1.395 7.345
F B Al
2 1 1
direct
0.920 0.920 0.920 F
0.080 0.080 0.080 F
0.500 0.500 0.500 B
0.000 0.000 0.000 Al
```

Size of the total moment   0.00 μB/cell
Distance to the lowest polymorph of the same formula   214 meV per atom
Electronic total energy   -4.1129 eV per atom
Mass density   2.54 Mg/m³
SG   R-3m, No. 166
Energy relative to the elements, uncorrected   -2.3 eV/f.u.

***

## AlB2F2 (PBE-GGA)

Data for an optimized crystal structure of AlB2F2.

The structure in POSCAR format:
```
AlB2F2
1.0
-0.467 1.924 2.700
-3.278 0.141 -0.667
-2.519 -2.527 3.441
F B Al
2 2 1
direct
0.250 0.750 0.500 F
0.750 0.250 0.500 F
0.587 0.587 0.827 B
0.413 0.413 0.173 B
0.000 0.000 0.000 Al
```

Size of the total moment   0.00 μB/cell
Distance to the lowest polymorph of the same formula   371 meV per atom
Electronic total energy   -3.9776 eV per atom
Mass density   2.95 Mg/m³
SG   I4/mmm, No. 139
Energy relative to the elements, uncorrected   1.0 eV/f.u.

***

Q: Look up the energy relative to the elements, uncorrected of the fifth one.
A: -7.0 eV/f.u.

***

Q: Among the records above, which one has the highest size of the total moment?
A: number 3

***

Repeat the third record exactly.
## EuAl3B4O12 (PBE-GGA)

Data for an optimized crystal structure of EuAl3B4O12.

The structure in POSCAR format:
```
EuAl3B4O12
1.0
5.966 -0.013 -0.006
-1.467 5.783 -0.006
1.653 2.119 10.935
B O Eu Al
8 24 2 6
direct
0.280 0.222 0.495 B
0.778 0.720 0.005 B
0.492 0.121 0.722 B
0.508 0.879 0.278 B
0.121 0.492 0.222 B
0.222 0.280 0.995 B
0.720 0.778 0.505 B
0.879 0.508 0.778 B
0.369 0.131 0.003 O
0.576 0.103 0.205 O
0.494 0.699 0.574 O
0.897 0.424 0.295 O
0.869 0.631 0.497 O
0.696 0.182 0.636 O
0.645 0.729 0.258 O
0.631 0.869 0.997 O
0.131 0.369 0.503 O
0.271 0.355 0.242 O
0.301 0.506 0.926 O
0.182 0.696 0.136 O
0.729 0.645 0.758 O
0.424 0.897 0.795 O
0.807 0.004 0.438 O
0.355 0.271 0.742 O
0.818 0.304 0.864 O
0.304 0.818 0.364 O
0.193 0.996 0.562 O
0.004 0.807 0.938 O
0.699 0.494 0.074 O
0.996 0.193 0.062 O
0.103 0.576 0.705 O
0.506 0.301 0.426 O
0.039 0.961 0.250 Eu
0.961 0.039 0.750 Eu
0.306 0.806 0.971 Al
0.589 0.411 0.250 Al
0.694 0.194 0.029 Al
0.806 0.306 0.471 Al
0.411 0.589 0.750 Al
0.194 0.694 0.529 Al
```

Size of the total moment   11.91 μB/cell
Electronic total energy   -8.1056 eV per atom
Mass density   4.12 Mg/m³
SG   C2/c, No. 15
Energy relative to the elements, uncorrected   -54.4 eV/f.u.

***

Q: Among the records above, which one has the lowest electronic total energy?
A: number 3